A plane-wave DFT calculation with PBE-GGA was carried out for a geometry-optimized ScTa2Sn2 structure.

Values from the calculation:
The total DFT energy (no corrections) is -7.5961 eV/atom.

Lattice parameters (Å, degrees): 7.6013 7.6013 3.6127 90.00 90.00 90.00
Fractional coordinates of all 10 atoms:
Sc: 0.0000 0.0000 0.0000
Sc: 0.5000 0.5000 0.0000
Ta: 0.6500 0.8500 0.5000
Ta: 0.8500 0.3500 0.5000
Ta: 0.3500 0.1500 0.5000
Ta: 0.1500 0.6500 0.5000
Sn: 0.1453 0.3547 0.0000
Sn: 0.8547 0.6453 0.0000
Sn: 0.6453 0.1453 0.0000
Sn: 0.3547 0.8547 0.0000